(1)
20
Lattice="6.304 0.000 0.000 -3.152 5.460 0.000 0.000 0.000 11.768" Properties=species:S:1:pos:R:3 comment="SmAlZn3 (GGA-PBE, relaxed)" e_above_lowest_polymorph_ev_per_atom=0.250 pbc="T T T"
Sm 0.000 3.640 2.942
Sm 3.152 1.820 8.826
Sm 0.000 0.000 5.884
Sm 0.000 0.000 0.000
Al 3.152 1.820 1.663
Al 0.000 3.640 7.547
Al 0.000 3.640 10.105
Al 3.152 1.820 4.221
Zn 0.000 1.426 8.826
Zn 1.235 0.713 2.942
Zn 5.069 0.713 2.942
Zn -1.917 4.747 8.826
Zn 1.917 4.747 8.826
Zn 3.152 4.034 2.942
Zn 1.576 2.730 5.884
Zn 3.152 0.000 0.000
Zn 1.576 2.730 0.000
Zn 3.152 0.000 5.884
Zn -1.576 2.730 5.884
Zn -1.576 2.730 0.000

(2)
5
Lattice="4.108 0.000 0.000 0.000 4.108 0.000 0.000 0.000 3.812" Properties=species:S:1:pos:R:3 comment="NbAlTc2H (GGA-PBE, relaxed)" energy_ha_per_atom=-0.2834 pbc="T T T"
H 0.000 0.000 0.000
Nb 0.000 0.000 1.906
Tc 0.000 2.054 0.000
Tc 2.054 0.000 0.000
Al 2.054 2.054 1.906

(3)
4
Lattice="3.269 0.000 0.000 0.000 3.269 0.000 0.000 0.000 7.904" Properties=species:S:1:pos:R:3 comment="NiSe2Br (GGA-PBE, relaxed)" e_above_lowest_polymorph_ev_per_atom=0.406 raw_formation_energy_ev_per_fu=0.7 pbc="T T T"
Br 1.635 1.635 1.976
Ni 1.635 1.635 5.928
Se 0.000 0.000 7.134
Se 0.000 0.000 4.722

(4)
5
Lattice="4.041 0.000 0.000 0.000 4.041 0.000 0.000 0.000 4.362" Properties=species:S:1:pos:R:3 comment="TaTi2ReN (GGA-PBE, relaxed)" raw_formation_energy_ev_per_fu=-3.3 pbc="T T T"
Re 2.020 2.020 2.181
N 0.000 0.000 0.000
Ti 0.000 2.020 0.000
Ti 2.020 0.000 0.000
Ta 0.000 0.000 2.181

(5)
8
Lattice="4.146 0.000 0.000 0.000 6.807 -2.317 0.000 -0.052 7.190" Properties=species:S:1:pos:R:3 comment="Nd3HfAs4 (GGA-PBE, relaxed)" energy_ha_per_atom=-0.2468 pbc="T T T"
Hf 2.073 0.000 0.000
As 0.000 1.552 1.120
As 2.073 5.169 -0.046
As 0.000 5.203 3.754
As 2.073 1.586 4.920
Nd 0.000 -0.026 3.595
Nd 2.073 3.377 2.437
Nd 0.000 3.404 -1.158

(6)
5
Lattice="-1.802 1.340 -5.680 4.191 -3.840 -2.236 -4.062 -4.556 0.213" Properties=species:S:1:pos:R:3 comment="Ba3VS (GGA-PBE, relaxed)" e_above_lowest_polymorph_ev_per_atom=0.000 raw_formation_energy_ev_per_fu=-1.0 pbc="T T T"
S 0.000 0.000 0.000
Ba 2.095 -1.920 -1.118
Ba -2.031 -2.278 0.107
Ba -0.901 0.670 -2.840
V -0.836 -3.528 -3.851

(7)
10
Lattice="-2.970 -1.338 4.058 -2.469 -3.484 -2.975 5.159 -0.135 0.409" Properties=species:S:1:pos:R:3 comment="Pm2CoH6Pd (GGA-PBE, relaxed)" energy_ha_per_atom=-0.1720 pbc="T T T"
Pm -0.267 -1.943 2.503
Pm -0.017 -3.016 -1.014
Co 2.187 -1.474 4.465
H 0.956 -3.862 1.244
H -1.399 -3.795 1.056
H 3.919 -1.232 0.653
H 2.301 -1.961 2.868
H 1.115 -1.164 0.433
H 2.574 -3.133 -0.970
Pd 2.438 -2.547 0.949

(8)
6
Lattice="0.000 3.734 3.734 3.734 0.000 3.734 3.734 3.734 0.000" Properties=species:S:1:pos:R:3 comment="AgTeOs4 (GGA-PBE, relaxed)" raw_formation_energy_ev_per_fu=6.0 pbc="T T T"
Ag 0.000 0.000 0.000
Te 1.867 1.867 1.867
Os 2.800 2.800 4.668
Os 2.800 4.668 2.800
Os 4.668 4.668 4.668
Os 4.668 2.800 2.800

(9)
8
Lattice="4.036 0.000 0.000 0.000 6.968 0.116 0.000 -2.440 6.567" Properties=species:S:1:pos:R:3 comment="Ce2DyPaP4 (GGA-PBE, relaxed)" energy_ha_per_atom=-0.2732 pbc="T T T"
Ce 2.018 -1.220 3.284
Ce 0.000 2.264 3.342
Dy 0.000 0.000 0.000
Pa 2.018 3.484 0.058
P 2.018 1.161 1.624
P 2.018 3.367 5.059
P 0.000 -0.073 5.018
P 0.000 4.601 1.665

(10)
19
Lattice="5.517 0.000 0.000 -2.758 8.015 -0.005 0.000 -2.823 8.716" Properties=species:S:1:pos:R:3 comment="Mg5Al2Ag12 (GGA-PBE, relaxed)" e_above_lowest_polymorph_ev_per_atom=0.187 pbc="T T T"
Mg 0.000 3.175 5.514
Mg 0.000 5.492 1.232
Mg 0.000 -1.412 4.358
Mg 2.758 -0.300 7.479
Mg 2.758 2.017 3.196
Al 4.110 0.000 0.000
Al 1.407 0.000 0.000
Ag 0.000 0.629 2.346
Ag -1.409 2.274 7.696
Ag 1.409 2.274 7.696
Ag -1.378 4.436 3.446
Ag 1.378 4.436 3.446
Ag 0.000 5.881 5.593
Ag 2.758 -0.689 3.117
Ag 4.136 0.756 5.265
Ag 1.380 0.756 5.265
Ag 4.167 2.918 1.014
Ag 1.350 2.918 1.014
Ag 2.758 4.563 6.364

(11)
10
Lattice="-1.123 -5.634 1.129 3.780 -3.161 3.163 -1.617 -1.557 5.794" Properties=species:S:1:pos:R:3 comment="PmZrTl2O6 (GGA-PBE, relaxed)" raw_formation_energy_ev_per_fu=-20.5 pbc="T T T"
Pm 1.218 -8.005 6.801
Zr 0.753 -2.859 1.663
Tl 0.817 -5.339 4.525
Tl -1.423 -1.664 5.456
O -0.389 -4.287 2.676
O 3.102 -4.497 4.745
O 0.732 -7.780 4.419
O 0.899 -5.728 7.173
O -1.601 -5.485 5.661
O 0.169 -3.167 5.947

(12)
10
Lattice="-2.540 -1.971 -2.927 1.036 -3.864 1.703 -22.837 2.012 18.461" Properties=species:S:1:pos:R:3 comment="Ba5Sr4Tl (GGA-PBE, relaxed)" energy_ha_per_atom=-0.0716 pbc="T T T"
Ba -2.338 -2.778 0.670
Ba -7.318 -2.339 4.696
Ba -12.171 -1.911 8.618
Ba -17.023 -1.484 12.541
Ba -22.003 -1.045 16.567
Sr -4.138 0.365 3.345
Sr -8.996 0.793 7.272
Sr -13.841 1.220 11.189
Sr -18.699 1.648 15.116
Tl 0.000 0.000 0.000

(13)
3
Lattice="-3.196 -0.577 3.500 1.463 -1.078 4.415 -0.336 3.246 3.485" Properties=species:S:1:pos:R:3 comment="SrSbRu (GGA-PBE, relaxed)" raw_formation_energy_ev_per_fu=0.0 pbc="T T T"
Ru -0.517 0.398 2.850
Sb 0.000 0.000 0.000
Sr -1.034 0.795 5.700

(14)
8
Lattice="5.857 0.000 0.000 0.000 5.857 0.000 2.929 2.929 2.484" Properties=species:S:1:pos:R:3 comment="MnHRu2 (GGA-PBE, relaxed)" e_above_lowest_polymorph_ev_per_atom=0.203 pbc="T T T"
Ru 3.878 1.464 0.621
Ru 1.979 4.393 0.621
Ru 4.393 4.908 1.863
Ru 7.322 6.806 1.863
Mn 0.000 0.000 0.000
Mn 5.857 2.929 1.242
H 2.929 2.929 0.000
H 2.929 5.857 1.242

(15)
4
Lattice="6.725 0.034 -0.008 3.322 5.848 0.008 -4.407 -3.994 3.140" Properties=species:S:1:pos:R:3 comment="La2YAg (GGA-PBE, relaxed)" e_above_lowest_polymorph_ev_per_atom=0.058 pbc="T T T"
Ag 1.969 2.397 1.574
La 0.301 0.176 0.000
La 4.723 2.765 0.000
Y 3.671 -0.510 1.566

(16)
14
Lattice="-1.037 0.413 -7.656 0.928 -5.857 -4.969 -5.676 -3.469 -3.946" Properties=species:S:1:pos:R:3 comment="LaMg2W3S8 (GGA-PBE, relaxed)" raw_formation_energy_ev_per_fu=-12.4 pbc="T T T"
S -4.393 -6.769 -12.584
S -4.259 -3.752 -5.643
S -0.742 -5.025 -6.188
S -1.789 -1.684 -7.619
S -4.692 -3.957 -10.015
S -3.810 -6.772 -8.809
S -1.585 -2.442 -4.540
S -1.727 -5.030 -10.476
Mg -5.154 -7.943 -14.768
Mg -0.813 -1.251 -2.327
W -5.438 -6.198 -10.488
W -3.521 -4.593 -12.022
W -2.709 -7.185 -10.911
La -2.755 -4.244 -7.891

(17)
14
Lattice="-1.141 6.593 1.095 -0.740 2.289 6.339 10.077 7.540 5.419" Properties=species:S:1:pos:R:3 comment="TbPrDy5 (GGA-PBE, relaxed)" e_above_lowest_polymorph_ev_per_atom=0.000 pbc="T T T"
Tb 0.000 0.000 0.000
Tb 5.038 3.770 2.709
Pr 6.529 11.044 6.626
Pr 1.667 5.378 6.226
Dy 7.100 7.639 6.760
Dy 3.785 9.642 7.809
Dy 1.968 4.878 2.821
Dy 6.754 8.628 9.569
Dy 9.466 10.370 7.972
Dy -1.270 6.052 4.880
Dy 1.442 7.794 3.283
Dy 6.228 11.544 10.031
Dy 4.411 6.780 5.044
Dy 1.096 8.783 6.093

(18)
4
Lattice="-1.750 -2.394 -2.531 1.310 -3.643 -0.463 -6.635 -5.312 6.609" Properties=species:S:1:pos:R:3 comment="SrTb2Se (GGA-PBE, relaxed)" raw_formation_energy_ev_per_fu=-2.5 pbc="T T T"
Sr 0.000 0.000 0.000
Tb -4.442 -4.197 4.038
Tb -2.632 -7.152 -0.423
Se -3.537 -5.675 1.807

(19)
12
Lattice="-10.006 -5.836 12.484 -1.373 -2.828 -2.422 2.579 -2.158 1.058" Properties=species:S:1:pos:R:3 comment="NiPb (GGA-PBE, relaxed)" energy_ha_per_atom=-0.1665 pbc="T T T"
Ni -7.099 -4.140 8.857
Ni -2.907 -1.695 3.627
Ni -2.782 -2.636 1.404
Ni -8.596 -6.027 8.658
Ni 1.289 -1.079 0.529
Ni -4.400 -5.411 5.560
Pb -7.141 -5.996 11.047
Pb -0.286 -1.998 2.495
Pb -2.824 -4.492 3.594
Pb -5.976 -6.330 7.526
Pb -5.003 -2.918 6.242
Pb -0.686 -1.414 -1.211

(20)
6
Lattice="4.160 0.000 0.000 -2.080 3.603 0.000 0.000 0.000 7.983" Properties=species:S:1:pos:R:3 comment="TmThSi2Ir2 (GGA-PBE, relaxed)" raw_formation_energy_ev_per_fu=-6.0 pbc="T T T"
Tm 0.000 0.000 3.992
Th 0.000 0.000 0.000
Si 2.080 1.201 5.840
Si 0.000 2.402 2.143
Ir 2.080 1.201 2.004
Ir 0.000 2.402 5.979

(21)
9
Lattice="3.942 0.000 -0.296 0.000 5.887 0.000 -1.968 -2.943 6.325" Properties=species:S:1:pos:R:3 comment="Zn6Cu2Ni (GGA-PBE, relaxed)" e_above_lowest_polymorph_ev_per_atom=0.138 pbc="T T T"
Zn 0.022 1.389 2.024
Zn 1.952 -1.555 4.005
Zn 1.952 1.555 4.005
Zn 1.971 1.446 -0.148
Zn 0.022 4.498 2.024
Zn 1.971 4.441 -0.148
Cu 1.992 2.943 1.891
Cu -0.018 0.000 4.138
Ni 0.000 0.000 0.000

(22)
12
Lattice="6.174 0.000 0.000 -3.087 5.347 0.000 0.000 0.000 9.641" Properties=species:S:1:pos:R:3 comment="BaPrAs2S8 (GGA-PBE, relaxed)" raw_formation_energy_ev_per_fu=-7.9 pbc="T T T"
Ba 0.000 0.000 0.000
Pr 0.000 0.000 4.821
As 3.087 1.782 2.300
As 0.000 3.564 7.341
S 0.000 3.564 9.515
S 0.973 1.924 2.910
S 0.934 5.227 2.910
S 3.087 1.782 0.126
S 2.153 0.120 6.732
S 2.114 3.422 6.732
S 4.994 1.805 6.732
S -1.907 3.542 2.910

(23)
12
Lattice="-3.880 5.017 0.722 -0.273 -4.871 4.117 9.578 5.297 5.251" Properties=species:S:1:pos:R:3 comment="La3TbPr6Er2 (GGA-PBE, relaxed)" energy_ha_per_atom=-0.1745 pbc="T T T"
La 3.915 -0.574 6.176
La 1.510 6.017 3.913
La 2.712 2.721 5.045
Tb 0.000 0.000 0.000
Pr 3.523 5.767 7.042
Pr -0.775 1.398 4.896
Pr 1.902 -0.324 3.047
Pr 4.727 2.467 8.175
Pr 6.200 4.045 5.193
Pr 0.698 2.976 1.914
Er -1.475 -1.575 2.985
Er -2.678 1.721 1.853